Material: Sc2NiO
Method: DFT, GGA+U
State: optimized geometry

Properties
The theoretical density is 4.6 g cm⁻³. For the uncorrected energy, the calculation gives -70.463 eV per cell. The value obtained for the magnetization is 0.000 μB/atom. As for the crystal system: trigonal. The value obtained for the density of states at the Fermi level is 3.9 states/eV/cell.

Cell: 3.088 3.088 21.675 Å, 90.00 90.00 120.00°
Atoms (fractional coordinates):
1 Sc 0.000 0.000 0.107
2 Sc 0.000 0.000 0.893
3 Sc 0.333 0.667 0.560
4 Sc 0.333 0.667 0.774
5 Sc 0.667 0.333 0.226
6 Sc 0.667 0.333 0.440
7 Ni 0.000 0.000 0.000
8 Ni 0.333 0.667 0.667
9 Ni 0.667 0.333 0.333
10 O 0.000 0.000 0.500
11 O 0.333 0.667 0.167
12 O 0.667 0.333 0.833